(1)
YIr2Rh | GGA-PBE | optimized geometry

Summary:
- Energy relative to the lowest polymorph listed for this composition: 642.8 meV per atom
- Crystal system: trigonal

abc: 9.477 9.477 9.477
angles: 17.50 17.50 17.50
Sites, in units of the cell vectors:
1 Y 0.000 0.000 0.000
2 Ir 0.501 0.501 0.501
3 Ir 0.758 0.758 0.758
4 Rh 0.244 0.244 0.244

=====

(2)
BaLiAl2Ir | GGA-PBE | optimized geometry

Summary:
- Crystal system: tetragonal
- VASP energy: -4.467 eV per atom

abc: 4.798 4.798 5.148
angles: 90.00 90.00 90.00
Sites, in units of the cell vectors:
1 Ba 0.000 0.000 0.000
2 Li 0.500 0.500 0.000
3 Al 0.000 0.500 0.500
4 Al 0.500 0.000 0.500
5 Ir 0.500 0.500 0.500

=====

(3)
LaPb3 | GGA-PBE | optimized geometry

Summary:
- Crystal system: orthorhombic
- VASP energy: -4.311 eV per atom

abc: 6.920 6.920 5.263
angles: 90.00 90.00 89.52
Sites, in units of the cell vectors:
1 La 0.166 0.834 0.750
2 La 0.834 0.166 0.250
3 Pb 0.114 0.341 0.750
4 Pb 0.341 0.114 0.250
5 Pb 0.406 0.594 0.250
6 Pb 0.594 0.406 0.750
7 Pb 0.659 0.886 0.750
8 Pb 0.886 0.659 0.250

=====

(4)
AcCdCu2 | GGA-PBE | optimized geometry

Summary:
- Crystal system: trigonal
- VASP energy: -3.468 eV per atom

abc: 5.681 5.681 5.681
angles: 47.72 47.72 47.72
Sites, in units of the cell vectors:
1 Ac 0.000 0.000 0.000
2 Cd 0.500 0.500 0.500
3 Cu 0.203 0.203 0.203
4 Cu 0.797 0.797 0.797

=====

(5)
InRePt4 | GGA-PBE | optimized geometry

Summary:
- Crystal system: cubic
- VASP energy: -6.220 eV per atom

abc: 5.276 5.276 5.276
angles: 60.00 60.00 60.00
Sites, in units of the cell vectors:
1 In 0.000 0.000 0.000
2 Re 0.750 0.750 0.750
3 Pt 0.376 0.376 0.376
4 Pt 0.376 0.376 0.873
5 Pt 0.376 0.873 0.376
6 Pt 0.873 0.376 0.376

=====

(6)
La2CrCd | GGA-PBE | optimized geometry

Summary:
- Crystal system: orthorhombic
- VASP energy: -4.961 eV per atom

abc: 6.407 6.407 6.407
angles: 145.45 130.90 61.42
Sites, in units of the cell vectors:
1 La 0.000 0.000 0.000
2 La 0.713 0.213 0.500
3 Cr 0.466 0.466 0.000
4 Cd 0.272 0.772 0.500

=====

(7)
SmHoI3 | GGA-PBE | optimized geometry

Summary:
- Crystal system: monoclinic
- VASP energy: -3.887 eV per atom

abc: 10.225 10.225 12.416
angles: 124.57 124.57 23.08
Sites, in units of the cell vectors:
1 Sm 0.132 0.132 0.276
2 Sm 0.868 0.868 0.724
3 Ho 0.434 0.434 0.038
4 Ho 0.566 0.566 0.962
5 I 0.034 0.034 0.748
6 I 0.211 0.211 0.119
7 I 0.334 0.334 0.496
8 I 0.666 0.666 0.504
9 I 0.789 0.789 0.881
10 I 0.966 0.966 0.252

=====

(8)
Ac5HIr2Pt | GGA-PBE | optimized geometry

Summary:
- Crystal system: orthorhombic
- VASP energy: -5.936 eV per atom

abc: 9.423 9.423 13.158
angles: 90.00 90.00 153.83
Sites, in units of the cell vectors:
1 Ac 0.006 0.994 0.500
2 Ac 0.147 0.853 0.724
3 Ac 0.194 0.806 0.075
4 Ac 0.197 0.803 0.391
5 Ac 0.467 0.533 0.747
6 Ac 0.533 0.467 0.247
7 Ac 0.803 0.197 0.891
8 Ac 0.806 0.194 0.575
9 Ac 0.853 0.147 0.224
10 Ac 0.994 0.006 0.000
11 H 0.011 0.989 0.689
12 H 0.989 0.011 0.189
13 Ir 0.310 0.690 0.732
14 Ir 0.372 0.628 0.045
15 Ir 0.628 0.372 0.545
16 Ir 0.690 0.310 0.232
17 Pt 0.386 0.614 0.411
18 Pt 0.614 0.386 0.911